First-principles (PBE-GGA) data for a relaxed structure of ErBN2, as listed in Alexandria.

Geometry as CIF:
```
data_ErBN2
_space_group_name_H-M_alt 'P n m a'
_space_group_IT_number 62
_cell_length_a 11.530
_cell_length_b 3.582
_cell_length_c 5.161
_cell_angle_alpha 90.00
_cell_angle_beta 90.00
_cell_angle_gamma 90.00
loop_
_space_group_symop_operation_xyz
'x,y,z'
'-x,-y,-z'
'-x+1/2,-y,z+1/2'
'x+1/2,y,-z+1/2'
'x+1/2,-y+1/2,-z+1/2'
'-x+1/2,y+1/2,z+1/2'
'-x,y+1/2,-z'
'x,-y+1/2,z'
loop_
_atom_site_label
_atom_site_fract_x
_atom_site_fract_y
_atom_site_fract_z
Er1 0.132 0.250 0.081
B1 0.118 0.750 0.584
N1 0.066 0.750 0.816
N2 0.181 0.750 0.365
```

Results
Mass density   6.42 g/cm³
Total magnetic moment   0.00 μB per atom
Volume   53.28 Å³/f.u.
Uncorrected formation energy   -1386 meV per atom